A plane-wave DFT calculation with PBEsol was carried out for a relaxed structure of PPb.

Calculated values
For the formation energy, the calculation gives 345 meV/atom. The space group is P4/nmm (129). The value obtained for the final energy is -9.1 eV per formula unit. As for the crystal system: tetragonal.

extended XYZ file:
```
4
Lattice="-3.2122 1.7992 1.9696 -1.6003 -3.7662 0.8305 2.9136 -0.1582 4.8964" Properties=species:S:1:pos:R:3 pbc="T T T"
P -2.4062 -0.9835 1.4000
P 0.0000 0.0000 0.0000
Pb -0.6211 0.8461 2.6402
Pb 1.1284 -1.9878 3.6563
```